A plane-wave DFT calculation with SCAN was carried out for a crystal of MnAgAs relaxed with PBEsol.

a b c (Å): 4.225 4.225 4.225
angles (deg): 60.00 60.00 60.00
Element x y z (fractional)
As 0.500 0.500 0.500
Mn 0.250 0.250 0.250
Ag 0.000 0.000 0.000

Summary:
- E (Ry/atom) = -1.71702
- formation enthalpy at 0 K (eV/atom) = -0.0903
- relative energy among the computed polymorphs (meV per atom) = 0

***

A plane-wave DFT calculation with SCAN was carried out for a crystal of MnAg2As relaxed with PBEsol.

a b c (Å): 3.511 3.511 5.403
angles (deg): 90.00 90.00 90.00
Element x y z (fractional)
As 0.500 0.500 0.000
Mn 0.500 0.500 0.500
Ag 0.000 0.000 0.746
Ag 0.000 0.000 0.254

Summary:
- E (Ry/atom) = -1.85825
- formation enthalpy at 0 K (eV/atom) = 0.0122

***

The lowest E belongs to which entry? MnAg2As

***

Which of these has the highest formation enthalpy at 0 K? MnAg2As

***

formation enthalpy at 0 K of number 2 (MnAg2As)? 0.0122 eV/atom